VASP calculation (PBE) on an optimized crystal structure of MnIn2Cu2.

Cell: 6.9796 6.9796 3.5784 Å, 90.00 90.00 90.00°
Last column: nearest neighbours and their distance in Å.
Atoms (fractional coordinates):
Mn 0.0000 0.0000 0.0000  4 Cu 2.75
In 0.3246 0.1754 0.5000  6 Cu 2.65-2.78
Cu 0.6262 0.1262 0.0000  1 Cu 2.49, 6 In 2.65-2.78, 2 Mn 2.75
Cu 0.1262 0.3738 0.0000  1 Cu 2.49, 6 In 2.65-2.78, 2 Mn 2.75
Cu 0.8738 0.6262 0.0000  1 Cu 2.49, 6 In 2.65-2.78, 2 Mn 2.75
In 0.1754 0.6754 0.5000  6 Cu 2.65-2.78
In 0.8246 0.3246 0.5000  6 Cu 2.65-2.78
Mn 0.5000 0.5000 0.0000  4 Cu 2.75
In 0.6754 0.8246 0.5000  6 Cu 2.65-2.78
Cu 0.3738 0.8738 0.0000  1 Cu 2.49, 6 In 2.65-2.78, 2 Mn 2.75

Computed properties:
- Magnetic moment: 7.362 Bohr magnetons per cell
- E_form: 0.2033 eV/atom
- Volume: 17.432 A^3/atom
- DOS(E_F): 4.79 states/eV/cell
- Symmetry: P4/mbm, No. 127